(1)
# PBE PrHo4Hg5, relaxed
# total energy = -2.939 eV/atom
# total magnetic moment = 0.071 μB/atom
data_PrHo4Hg5
_chemical_formula_sum 'Pr1 Ho4 Hg5'
_space_group_name_H-M_alt 'P 1'
_space_group_IT_number 1
_space_group_name_Hall 'P 1'
_cell_length_a 3.7267
_cell_length_b 3.7267
_cell_length_c 18.8133
_cell_angle_alpha 90.00
_cell_angle_beta 90.00
_cell_angle_gamma 90.00
loop_
_atom_site_label
_atom_site_type_symbol
_atom_site_fract_x
_atom_site_fract_y
_atom_site_fract_z
Hg1 Hg 0.5000 0.5000 0.3041
Hg2 Hg 0.5000 0.5000 0.1122
Hg3 Hg 0.5000 0.5000 0.5000
Hg4 Hg 0.5000 0.5000 0.6959
Hg5 Hg 0.5000 0.5000 0.8878
Ho1 Ho 0.0000 0.0000 0.5977
Ho2 Ho 0.0000 0.0000 0.2060
Ho3 Ho 0.0000 0.0000 0.7940
Ho4 Ho 0.0000 0.0000 0.4023
Pr1 Pr 0.0000 0.0000 0.0000

---

(2)
# PBE Pr2Ho6Hg, relaxed
# total energy = -4.162 eV/atom
# total magnetic moment = 0.000 μB/atom
data_Pr2Ho6Hg
_chemical_formula_sum 'Pr4 Ho12 Hg2'
_space_group_name_H-M_alt 'P 1'
_space_group_IT_number 1
_space_group_name_Hall 'P 1'
_cell_length_a 5.4983
_cell_length_b 9.7537
_cell_length_c 10.2797
_cell_angle_alpha 90.00
_cell_angle_beta 89.98
_cell_angle_gamma 90.00
loop_
_atom_site_label
_atom_site_type_symbol
_atom_site_fract_x
_atom_site_fract_y
_atom_site_fract_z
Ho1 Ho 0.4999 0.5171 0.3182
Ho2 Ho 0.0001 0.6382 0.8975
Ho3 Ho 0.4999 0.1829 0.9251
Ho4 Ho 0.5001 0.8618 0.3975
Ho5 Ho 0.9999 0.3618 0.1025
Ho6 Ho 0.0001 0.6829 0.5749
Ho7 Ho 0.9999 0.9829 0.8182
Ho8 Ho 0.5001 0.4829 0.6818
Ho9 Ho 0.9999 0.3171 0.4251
Ho10 Ho 0.4999 0.1382 0.6025
Ho11 Ho 0.0001 0.0171 0.1818
Ho12 Ho 0.5001 0.8171 0.0749
Pr1 Pr 0.5000 0.8104 0.7495
Pr2 Pr 0.0000 0.6896 0.2495
Pr3 Pr 0.0000 0.3104 0.7505
Pr4 Pr 0.5000 0.1896 0.2505
Hg1 Hg 0.5000 0.5000 0.0000
Hg2 Hg 0.0000 0.0000 0.5000

---

(3)
# PBE PrHo2Hg2, relaxed
# excess energy over the best structure of this formula in the dataset = 0.156 eV/atom
# total energy = -3.127 eV/atom
# total magnetic moment = 0.087 μB/atom
data_PrHo2Hg2
_chemical_formula_sum 'Pr1 Ho2 Hg2'
_space_group_name_H-M_alt 'P 1'
_space_group_IT_number 1
_space_group_name_Hall 'P 1'
_cell_length_a 5.2284
_cell_length_b 5.2284
_cell_length_c 6.4084
_cell_angle_alpha 90.00
_cell_angle_beta 90.00
_cell_angle_gamma 120.00
loop_
_atom_site_label
_atom_site_type_symbol
_atom_site_fract_x
_atom_site_fract_y
_atom_site_fract_z
Pr1 Pr 0.0000 0.0000 0.0000
Hg1 Hg 0.3333 0.6667 0.1873
Hg2 Hg 0.6667 0.3333 0.8127
Ho1 Ho 0.3333 0.6667 0.6593
Ho2 Ho 0.6667 0.3333 0.3407

---

(4)
# PBE Pr2HoHg4, relaxed
# excess energy over the best structure of this formula in the dataset = 0.000 eV/atom
# total energy = -2.538 eV/atom
# total magnetic moment = 0.000 μB/atom
data_Pr2HoHg4
_chemical_formula_sum 'Pr2 Ho1 Hg4'
_space_group_name_H-M_alt 'P 1'
_space_group_IT_number 1
_space_group_name_Hall 'P 1'
_cell_length_a 5.1673
_cell_length_b 5.1673
_cell_length_c 9.5604
_cell_angle_alpha 74.32
_cell_angle_beta 74.32
_cell_angle_gamma 60.00
loop_
_atom_site_label
_atom_site_type_symbol
_atom_site_fract_x
_atom_site_fract_y
_atom_site_fract_z
Hg1 Hg 0.3691 0.3691 0.8927
Hg2 Hg 0.8728 0.8728 0.3815
Hg3 Hg 0.1272 0.1272 0.6185
Hg4 Hg 0.6309 0.6309 0.1073
Ho1 Ho 0.0000 0.0000 0.0000
Pr1 Pr 0.7559 0.7559 0.7323
Pr2 Pr 0.2441 0.2441 0.2677

---

(5)
# PBE PrHo6Hg, relaxed
# total energy = -4.071 eV/atom
# total magnetic moment = 0.000 μB/atom
data_PrHo6Hg
_chemical_formula_sum 'Pr1 Ho6 Hg1'
_space_group_name_H-M_alt 'P 1'
_space_group_IT_number 1
_space_group_name_Hall 'P 1'
_cell_length_a 9.3003
_cell_length_b 8.4999
_cell_length_c 6.2973
_cell_angle_alpha 47.57
_cell_angle_beta 42.44
_cell_angle_gamma 56.83
loop_
_atom_site_label
_atom_site_type_symbol
_atom_site_fract_x
_atom_site_fract_y
_atom_site_fract_z
Pr1 Pr 0.5000 0.5000 0.5000
Ho1 Ho 0.7611 0.9582 0.7194
Ho2 Ho 0.4386 0.7611 0.8419
Ho3 Ho 0.0420 0.4390 0.7579
Ho4 Ho 0.9580 0.5610 0.2421
Ho5 Ho 0.2389 0.0418 0.2806
Ho6 Ho 0.5614 0.2389 0.1581
Hg1 Hg 0.0000 0.0000 0.0000

---

(6)
# PBE PrHoHg6, relaxed
# total energy = -1.754 eV/atom
# total magnetic moment = 0.000 μB/atom
data_PrHoHg6
_chemical_formula_sum 'Pr1 Ho1 Hg6'
_space_group_name_H-M_alt 'P 1'
_space_group_IT_number 1
_space_group_name_Hall 'P 1'
_cell_length_a 5.0442
_cell_length_b 6.7441
_cell_length_c 6.7441
_cell_angle_alpha 119.93
_cell_angle_beta 90.00
_cell_angle_gamma 90.00
loop_
_atom_site_label
_atom_site_type_symbol
_atom_site_fract_x
_atom_site_fract_y
_atom_site_fract_z
Hg1 Hg 0.0000 0.5901 0.9285
Hg2 Hg 0.5000 0.9168 0.5857
Hg3 Hg 0.5000 0.9191 0.0809
Hg4 Hg 0.0000 0.0715 0.4099
Hg5 Hg 0.5000 0.4143 0.0832
Hg6 Hg 0.0000 0.5879 0.4121
Pr1 Pr 0.5000 0.4155 0.5845
Ho1 Ho 0.0000 0.0845 0.9155